! MgPd2O (PBE, relaxed); values from VASP
&SYSTEM
  ibrav = 0, nat = 4, ntyp = 3
/
ATOMIC_SPECIES
Mg 24.30 Mg.upf
Pd 106.42 Pd.upf
O 16.00 O.upf
CELL_PARAMETERS angstrom
0.000 3.039 3.039
3.039 0.000 3.039
3.039 3.039 0.000
ATOMIC_POSITIONS crystal
Mg 0.000 0.000 0.000
Pd 0.250 0.250 0.250
Pd 0.750 0.750 0.750
O 0.500 0.500 0.500
! * distance to the lowest polymorph of the same formula: 190 meV per atom
! * symmetry: Fm-3m (225)
! * uncorrected energy: -16.91 eV/cell
! * size of the total moment: 0.8 μB per cell
! * formation energy from raw total energies: 0.03 eV/f.u.

! MgPdO (PBE, relaxed); values from VASP
&SYSTEM
  ibrav = 0, nat = 6, ntyp = 3
/
ATOMIC_SPECIES
Mg 24.30 Mg.upf
Pd 106.42 Pd.upf
O 16.00 O.upf
CELL_PARAMETERS angstrom
2.757 -5.041 0.000
2.757 5.041 0.000
0.000 0.000 2.845
ATOMIC_POSITIONS crystal
Mg 0.000 0.500 0.000
Mg 0.500 0.000 0.000
Pd 0.000 0.000 0.156
Pd 0.500 0.500 0.515
O 0.292 0.708 0.503
O 0.708 0.292 0.503
! * symmetry: Cmm2 (35)
! * uncorrected energy: -31.56 eV/cell
! * size of the total moment: 0.0 μB per cell
! * formation energy from raw total energies: -4.04 eV/f.u.